Entry from Alexandria: an optimized crystal structure of Na2Cd2IrO6 (GGA-PBE).

total moment	0.14	μB/atom
DOS(E_F)	0.572	states/eV per atom
raw total energy	-4.9620	eV per atom

Cell lengths 5.668, 5.668, 5.798 Å; angles 100.08, 100.08, 117.30 degrees
Site moments in Bohr magnetons follow the coordinates.
Atoms (fractional coordinates):
Cd 0.659 0.341 0.500  0.02
Cd 0.341 0.659 0.500  0.02
Na 0.831 0.169 0.000  0.00
Na 0.169 0.831 0.000  0.00
O 0.942 0.649 0.298  0.08
O 0.792 0.792 0.704  0.09
O 0.649 0.942 0.298  0.08
O 0.208 0.208 0.296  0.09
O 0.351 0.058 0.702  0.08
O 0.058 0.351 0.702  0.08
Ir 0.000 0.000 0.500  0.83